(1)
TbCeBiAu: relaxed, PBE.

Geometry as CIF:
```
data_TbCeBiAu
_chemical_formula_sum 'Tb1 Ce1 Bi1 Au1'
_space_group_name_H-M_alt 'P 1'
_space_group_IT_number 1
_cell_length_a 5.3720
_cell_length_b 5.3720
_cell_length_c 5.3720
_cell_angle_alpha 60.00
_cell_angle_beta 60.00
_cell_angle_gamma 60.00
loop_
_space_group_symop_operation_xyz
'x,y,z'
loop_
_atom_site_label
_atom_site_type_symbol
_atom_site_fract_x
_atom_site_fract_y
_atom_site_fract_z
Bi1 Bi 0.5000 0.5000 0.5000
Au1 Au 0.0000 0.0000 0.0000
Tb1 Tb 0.7500 0.7500 0.7500
Ce1 Ce 0.2500 0.2500 0.2500
```

Summary:
SG: F-43m, No. 216
energy of formation: -0.61 eV/atom



(2)
TlCr2W: relaxed, PBE.

Geometry as CIF:
```
data_TlCr2W
_chemical_formula_sum 'Tl1 Cr2 W1'
_space_group_name_H-M_alt 'P 1'
_space_group_IT_number 1
_cell_length_a 2.8078
_cell_length_b 2.8078
_cell_length_c 8.7392
_cell_angle_alpha 90.00
_cell_angle_beta 90.00
_cell_angle_gamma 112.58
loop_
_space_group_symop_operation_xyz
'x,y,z'
loop_
_atom_site_label
_atom_site_type_symbol
_atom_site_fract_x
_atom_site_fract_y
_atom_site_fract_z
Cr1 Cr 0.0000 0.0000 0.0157
Cr2 Cr 0.5000 0.5000 0.2136
Tl1 Tl 0.0000 0.0000 0.4871
W1 W 0.5000 0.5000 0.7836
```

Summary:
SG: Cmm2, No. 35
energy of formation: 0.69 eV/atom
E above lowest polymorph: 0.90 eV per formula unit



(3)
SmMg2Si2: relaxed, PBE.

Geometry as CIF:
```
data_SmMg2Si2
_chemical_formula_sum 'Sm2 Mg4 Si4'
_space_group_name_H-M_alt 'P 1'
_space_group_IT_number 1
_cell_length_a 4.2249
_cell_length_b 4.6032
_cell_length_c 11.0291
_cell_angle_alpha 96.08
_cell_angle_beta 90.00
_cell_angle_gamma 90.00
loop_
_space_group_symop_operation_xyz
'x,y,z'
loop_
_atom_site_label
_atom_site_type_symbol
_atom_site_fract_x
_atom_site_fract_y
_atom_site_fract_z
Si1 Si 0.2500 0.3693 0.9878
Si2 Si 0.2500 0.7865 0.6499
Si3 Si 0.7500 0.6307 0.0122
Si4 Si 0.7500 0.2135 0.3501
Mg1 Mg 0.2500 0.8493 0.8854
Mg2 Mg 0.7500 0.1507 0.1146
Mg3 Mg 0.2500 0.2509 0.5029
Mg4 Mg 0.7500 0.7491 0.4971
Sm1 Sm 0.2500 0.6772 0.2424
Sm2 Sm 0.7500 0.3228 0.7576
```

Summary:
raw formation energy: -0.3041 eV per atom
SG: P2_1/m, No. 11



(4)
Cs3Nd2SmTe6: relaxed, PBE.

Geometry as CIF:
```
data_Cs3Nd2SmTe6
_chemical_formula_sum 'Cs3 Nd2 Sm1 Te6'
_space_group_name_H-M_alt 'P 1'
_space_group_IT_number 1
_cell_length_a 8.0763
_cell_length_b 8.0763
_cell_length_c 9.3429
_cell_angle_alpha 98.28
_cell_angle_beta 98.28
_cell_angle_gamma 120.00
loop_
_space_group_symop_operation_xyz
'x,y,z'
loop_
_atom_site_label
_atom_site_type_symbol
_atom_site_fract_x
_atom_site_fract_y
_atom_site_fract_z
Cs1 Cs 0.8326 0.1674 0.5000
Cs2 Cs 0.5000 0.5000 0.5000
Cs3 Cs 0.1674 0.8326 0.5000
Nd1 Nd 0.6666 0.3334 0.0000
Nd2 Nd 0.3334 0.6666 0.0000
Te1 Te 0.2657 0.2657 0.8053
Te2 Te 0.7343 0.7343 0.1947
Te3 Te 0.9353 0.6046 0.8057
Te4 Te 0.0647 0.3954 0.1943
Te5 Te 0.6046 0.9353 0.8057
Te6 Te 0.3954 0.0647 0.1943
Sm1 Sm 0.0000 0.0000 0.0000
```

Summary:
raw formation energy: -1.4120 eV per atom
SG: C2/m, No. 12



(5)
KTcIr: relaxed, PBE.

Geometry as CIF:
```
data_KTcIr
_chemical_formula_sum 'K1 Tc1 Ir1'
_space_group_name_H-M_alt 'P 1'
_space_group_IT_number 1
_cell_length_a 4.4213
_cell_length_b 4.4213
_cell_length_c 4.4213
_cell_angle_alpha 60.00
_cell_angle_beta 60.00
_cell_angle_gamma 60.00
loop_
_space_group_symop_operation_xyz
'x,y,z'
loop_
_atom_site_label
_atom_site_type_symbol
_atom_site_fract_x
_atom_site_fract_y
_atom_site_fract_z
K1 K 0.5000 0.5000 0.5000
Tc1 Tc 0.7500 0.7500 0.7500
Ir1 Ir 0.0000 0.0000 0.0000
```

Summary:
SG: F-43m, No. 216
energy of formation: 1.47 eV/atom
E above lowest polymorph: 2.75 eV per formula unit



(6)
CaZrSi: relaxed, PBE.

Geometry as CIF:
```
data_CaZrSi
_chemical_formula_sum 'Ca2 Zr2 Si2'
_space_group_name_H-M_alt 'P 1'
_space_group_IT_number 1
_cell_length_a 3.8415
_cell_length_b 11.2379
_cell_length_c 3.6947
_cell_angle_alpha 90.00
_cell_angle_beta 90.00
_cell_angle_gamma 90.00
loop_
_space_group_symop_operation_xyz
'x,y,z'
loop_
_atom_site_label
_atom_site_type_symbol
_atom_site_fract_x
_atom_site_fract_y
_atom_site_fract_z
Si1 Si 0.5000 0.8522 0.0000
Si2 Si 0.0000 0.1478 0.5000
Ca1 Ca 0.5000 0.6357 0.5000
Ca2 Ca 0.0000 0.3643 0.0000
Zr1 Zr 0.0000 0.9058 0.5000
Zr2 Zr 0.5000 0.0942 0.0000
```

Summary:
raw formation energy: -0.4363 eV per atom
SG: Pmmn, No. 59



(7)
Mg7Bi5: relaxed, PBE.

Geometry as CIF:
```
data_Mg7Bi5
_chemical_formula_sum 'Mg7 Bi5'
_space_group_name_H-M_alt 'P 1'
_space_group_IT_number 1
_cell_length_a 4.0749
_cell_length_b 7.7600
_cell_length_c 12.4128
_cell_angle_alpha 69.54
_cell_angle_beta 80.56
_cell_angle_gamma 74.78
loop_
_space_group_symop_operation_xyz
'x,y,z'
loop_
_atom_site_label
_atom_site_type_symbol
_atom_site_fract_x
_atom_site_fract_y
_atom_site_fract_z
Mg1 Mg 0.7463 0.8623 0.6451
Mg2 Mg 0.6574 0.7223 0.9628
Mg3 Mg 0.5000 0.5000 0.5000
Mg4 Mg 0.9522 0.3117 0.7839
Mg5 Mg 0.0478 0.6883 0.2161
Mg6 Mg 0.3426 0.2777 0.0372
Mg7 Mg 0.2537 0.1377 0.3549
Bi1 Bi 0.1149 0.1857 0.5845
Bi2 Bi 0.8851 0.8143 0.4155
Bi3 Bi 0.0000 0.0000 0.0000
Bi4 Bi 0.7005 0.4051 0.1940
Bi5 Bi 0.2995 0.5949 0.8060
```

Summary:
SG: C2/m, No. 12
energy of formation: -0.14 eV/atom



(8)
VCrPbAuBr: relaxed, PBE.

Geometry as CIF:
```
data_VCrPbAuBr
_chemical_formula_sum 'V1 Cr1 Pb1 Au1 Br1'
_space_group_name_H-M_alt 'P 1'
_space_group_IT_number 1
_cell_length_a 3.3368
_cell_length_b 3.2003
_cell_length_c 10.2514
_cell_angle_alpha 99.19
_cell_angle_beta 90.26
_cell_angle_gamma 90.00
loop_
_space_group_symop_operation_xyz
'x,y,z'
loop_
_atom_site_label
_atom_site_type_symbol
_atom_site_fract_x
_atom_site_fract_y
_atom_site_fract_z
Br1 Br 0.8882 0.9314 0.7557
Au1 Au 0.8896 0.6748 0.2306
Pb1 Pb 0.3929 0.2805 0.4366
Cr1 Cr 0.3873 0.0962 0.0768
V1 V 0.8863 0.5287 0.9460
```

Summary:
raw formation energy: 0.0308 eV per atom
SG: P1, No. 1
E above lowest polymorph: 0.00 eV per formula unit



(9)
Rb2YZnAg: relaxed, PBE.

Geometry as CIF:
```
data_Rb2YZnAg
_chemical_formula_sum 'Rb2 Y1 Zn1 Ag1'
_space_group_name_H-M_alt 'P 1'
_space_group_IT_number 1
_cell_length_a 7.4381
_cell_length_b 5.4303
_cell_length_c 7.4381
_cell_angle_alpha 90.00
_cell_angle_beta 90.00
_cell_angle_gamma 90.00
loop_
_space_group_symop_operation_xyz
'x,y,z'
loop_
_atom_site_label
_atom_site_type_symbol
_atom_site_fract_x
_atom_site_fract_y
_atom_site_fract_z
Rb1 Rb 0.0000 0.0000 0.5000
Rb2 Rb 0.5000 0.0000 0.0000
Ag1 Ag 0.5000 0.5000 0.5000
Zn1 Zn 0.0000 0.5000 0.0000
Y1 Y 0.0000 0.0000 0.0000
```

Summary:
SG: P4/mmm, No. 123
energy of formation: 0.87 eV/atom



(10)
SbPtW2: relaxed, PBE.

Geometry as CIF:
```
data_SbPtW2
_chemical_formula_sum 'Sb1 Pt1 W2'
_space_group_name_H-M_alt 'P 1'
_space_group_IT_number 1
_cell_length_a 3.1274
_cell_length_b 3.1274
_cell_length_c 6.9693
_cell_angle_alpha 90.00
_cell_angle_beta 90.00
_cell_angle_gamma 90.00
loop_
_space_group_symop_operation_xyz
'x,y,z'
loop_
_atom_site_label
_atom_site_type_symbol
_atom_site_fract_x
_atom_site_fract_y
_atom_site_fract_z
W1 W 0.0000 0.0000 0.4992
W2 W 0.0000 0.0000 0.0008
Sb1 Sb 0.5000 0.5000 0.7500
Pt1 Pt 0.5000 0.5000 0.2500
```

Summary:
raw formation energy: 0.4384 eV per atom
SG: P4/mmm, No. 123



(11)
DyNbIr2: relaxed, PBE.

Geometry as CIF:
```
data_DyNbIr2
_chemical_formula_sum 'Dy1 Nb1 Ir2'
_space_group_name_H-M_alt 'P 1'
_space_group_IT_number 1
_cell_length_a 3.0961
_cell_length_b 3.0961
_cell_length_c 7.5940
_cell_angle_alpha 90.00
_cell_angle_beta 90.00
_cell_angle_gamma 90.00
loop_
_space_group_symop_operation_xyz
'x,y,z'
loop_
_atom_site_label
_atom_site_type_symbol
_atom_site_fract_x
_atom_site_fract_y
_atom_site_fract_z
Ir1 Ir 0.0000 0.0000 0.2173
Ir2 Ir 0.0000 0.0000 0.7827
Nb1 Nb 0.5000 0.5000 0.0000
Dy1 Dy 0.5000 0.5000 0.5000
```

Summary:
SG: P4/mmm, No. 123
energy of formation: -0.56 eV/atom
E above lowest polymorph: 0.00 eV per formula unit



(12)
CaPr2OsO8: relaxed, PBE.

Geometry as CIF:
```
data_CaPr2OsO8
_chemical_formula_sum 'Ca1 Pr2 Os1 O8'
_space_group_name_H-M_alt 'P 1'
_space_group_IT_number 1
_cell_length_a 5.1838
_cell_length_b 5.1812
_cell_length_c 7.1450
_cell_angle_alpha 89.97
_cell_angle_beta 90.00
_cell_angle_gamma 91.00
loop_
_space_group_symop_operation_xyz
'x,y,z'
loop_
_atom_site_label
_atom_site_type_symbol
_atom_site_fract_x
_atom_site_fract_y
_atom_site_fract_z
O1 O 0.7408 0.7416 0.9999
O2 O 0.8247 0.1763 0.8104
O3 O 0.1753 0.8237 0.1896
O4 O 0.2592 0.2584 0.0001
O5 O 0.1755 0.8240 0.8104
O6 O 0.8245 0.1760 0.1896
O7 O 0.6946 0.6950 0.4999
O8 O 0.3054 0.3050 0.5001
Pr1 Pr 0.5000 0.4999 0.2548
Pr2 Pr 0.5000 0.5001 0.7452
Ca1 Ca 0.0000 0.0000 0.5000
Os1 Os 0.0000 0.0000 0.0000
```

Summary:
raw formation energy: -2.2180 eV per atom
SG: Cmmm, No. 65